This record from the Open Quantum Materials Database describes crystalline HfInTcNi at its relaxed geometry. The functional is PBE.

Output
Polymorph energy (0 for the lowest one) = 412 meV per atom
SG = F-43m (216)
Theoretical density = 10.98 Mg/m³
Spin magnetization = 0.3 μB/f.u.

Lattice parameters (Å, degrees): 4.583 4.583 4.583 60.00 60.00 60.00
Fractional positions:
Tc: 0.500 0.500 0.500
In: 0.000 0.000 0.000
Ni: 0.750 0.750 0.750
Hf: 0.250 0.250 0.250